Record 1
First-principles (SCAN) data for a PBEsol-optimized structure of Y2MnFeO6, as listed in Alexandria via LeMat-Bulk.

```
Y2MnFeO6
1.0
5.110 0.000 0.000
0.000 5.474 0.000
-5.029 0.000 7.355
Y Mn Fe O
4 2 2 12
Cartesian
-0.090 0.407 1.836 Y
-2.604 2.330 5.513 Y
2.685 3.144 1.842 Y
0.171 5.066 5.519 Y
2.555 0.000 0.000 Mn
0.041 2.737 3.677 Mn
-2.514 0.000 3.677 Fe
0.000 2.737 0.000 Fe
-4.050 1.078 6.986 O
-1.536 1.659 3.309 O
-3.453 3.837 6.979 O
-0.938 4.373 3.302 O
-1.976 0.155 5.519 O
0.538 2.582 1.841 O
-0.457 2.892 5.514 O
2.057 5.319 1.836 O
1.019 1.100 4.053 O
3.534 1.636 0.375 O
1.617 3.814 4.046 O
4.131 4.396 0.369 O
```

Values from the calculation:
The mass density comes out at 6.21 g/cm³. For the volume, the calculation gives 10.28 Å³/atom. The calculation puts the uncorrected energy at -158.983 eV per formula unit. For the magnetic moment, the calculation gives 5.946 μB per cell. Its space group is P2_1/c (14).

***

Record 2
First-principles (SCAN) data for a PBEsol-optimized structure of MnZnFe4O8, as listed in Alexandria via LeMat-Bulk.

```
MnZnFe4O8
1.0
0.000 4.047 4.047
4.047 0.000 4.047
4.047 4.047 0.000
Mn Zn Fe O
1 1 4 8
Cartesian
0.000 0.000 0.000 Mn
6.071 6.071 6.071 Zn
3.028 3.028 3.028 Fe
5.066 5.066 3.028 Fe
5.066 3.028 5.066 Fe
3.028 5.066 5.066 Fe
1.113 1.113 1.113 O
2.935 2.935 1.113 O
2.935 1.113 2.935 O
4.947 3.147 3.147 O
1.113 2.935 2.935 O
3.147 4.947 3.147 O
3.147 3.147 4.947 O
4.947 4.947 4.947 O
```

Values from the calculation:
The mass density comes out at 5.91 g/cm³. For the volume, the calculation gives 9.47 Å³/atom. The calculation puts the uncorrected energy at -176.818 eV per formula unit. For the magnetic moment, the calculation gives 9.000 μB per cell. Its space group is F-43m (216).

***

Record 3
First-principles (SCAN) data for a PBEsol-optimized structure of MnFeOs, as listed in Alexandria via LeMat-Bulk.

```
MnFeOs
1.0
2.593 0.000 0.000
-1.296 2.246 0.000
0.000 0.000 6.133
Mn Fe Os
1 1 1
Cartesian
0.000 0.000 0.000 Mn
1.296 0.749 1.929 Fe
0.000 1.497 4.064 Os
```

Values from the calculation:
The mass density comes out at 14.00 g/cm³. Its energy relative to the elements is 0.5 eV/f.u. For the volume, the calculation gives 11.90 Å³/atom. For the magnetic moment, the calculation gives 0.092 μB per cell. The energy above the most stable polymorph in this dataset comes out at 0.00 eV per formula unit. Its space group is P3m1 (156).

***

Record 4
First-principles (SCAN) data for a PBEsol-optimized structure of MnFe4Os, as listed in Alexandria via LeMat-Bulk.

```
MnFe4Os
1.0
0.000 3.234 3.234
3.234 0.000 3.234
3.234 3.234 0.000
Mn Fe Os
1 4 1
Cartesian
0.000 0.000 0.000 Mn
4.042 2.425 2.425 Fe
2.425 4.042 2.425 Fe
2.425 2.425 4.042 Fe
4.042 4.042 4.042 Fe
1.617 1.617 1.617 Os
```

Values from the calculation:
The mass density comes out at 11.50 g/cm³. Its energy relative to the elements is 0.2 eV/f.u. For the volume, the calculation gives 11.27 Å³/atom. For the magnetic moment, the calculation gives 5.005 μB per cell. Its space group is F-43m (216).

***

Record 5
First-principles (SCAN) data for a PBEsol-optimized structure of MnFeOs, as listed in Alexandria via LeMat-Bulk.

```
MnFeOs
1.0
0.000 2.746 2.746
2.746 0.000 2.746
2.746 2.746 0.000
Mn Fe Os
1 1 1
Cartesian
0.000 0.000 0.000 Mn
2.746 2.746 2.746 Fe
4.120 4.120 4.120 Os
```

Values from the calculation:
The mass density comes out at 12.06 g/cm³. Its energy relative to the elements is 2.1 eV/f.u. For the volume, the calculation gives 13.81 Å³/atom. For the magnetic moment, the calculation gives 0.601 μB per cell. The energy above the most stable polymorph in this dataset comes out at 1.61 eV per formula unit. Its space group is F-43m (216).

***

Record 6
First-principles (SCAN) data for a PBEsol-optimized structure of MnFe2Os, as listed in Alexandria via LeMat-Bulk.

```
MnFe2Os
1.0
2.841 0.000 0.000
0.000 2.841 0.000
0.000 0.000 5.845
Mn Fe Os
1 2 1
Cartesian
0.000 0.000 0.000 Mn
0.000 0.000 3.112 Fe
1.421 1.421 4.441 Fe
1.421 1.421 1.508 Os
```

Values from the calculation:
The mass density comes out at 12.56 g/cm³. Its energy relative to the elements is -0.1 eV/f.u. For the volume, the calculation gives 11.80 Å³/atom. For the magnetic moment, the calculation gives 7.227 μB per cell. Its space group is P4mm (99).

***

Record 7
First-principles (SCAN) data for a PBEsol-optimized structure of Mn2FeP, as listed in Alexandria via LeMat-Bulk.

```
Mn2FeP
1.0
0.000 2.740 2.740
2.740 0.000 2.740
2.740 2.740 0.000
Mn Fe P
2 1 1
Cartesian
0.000 0.000 0.000 Mn
1.370 1.370 1.370 Mn
4.110 4.110 4.110 Fe
2.740 2.740 2.740 P
```

Values from the calculation:
The mass density comes out at 7.94 g/cm³. Its energy relative to the elements is -1.3 eV/f.u. For the volume, the calculation gives 10.28 Å³/atom. For the magnetic moment, the calculation gives 3.000 μB per cell. Its space group is F-43m (216).

***

Record 8
First-principles (SCAN) data for a PBEsol-optimized structure of MnFe3P2, as listed in Alexandria via LeMat-Bulk.

```
MnFe3P2
1.0
5.650 0.000 0.000
0.000 3.417 0.000
-0.051 0.000 9.847
Mn Fe P
3 9 6
Cartesian
0.000 0.000 0.000 Mn
0.588 0.000 6.930 Mn
2.810 0.000 4.914 Mn
0.591 0.000 2.896 Fe
0.916 1.708 4.925 Fe
1.546 1.708 1.228 Fe
1.512 1.708 8.592 Fe
3.397 0.000 1.978 Fe
3.401 0.000 7.859 Fe
3.744 1.708 0.004 Fe
4.367 1.708 3.662 Fe
4.397 1.708 6.149 Fe
2.256 1.708 3.234 P
2.303 1.708 6.601 P
2.293 0.000 9.838 P
5.033 1.708 8.193 P
5.092 1.708 1.669 P
5.145 0.000 4.851 P
```

Values from the calculation:
The mass density comes out at 7.45 g/cm³. Its energy relative to the elements is -2.9 eV/f.u. For the volume, the calculation gives 10.56 Å³/atom. For the magnetic moment, the calculation gives 21.304 μB per cell. Its space group is Pm (6).